4
Lattice="2.8958 0.0000 0.0000 0.0000 4.2715 0.0000 0.0000 0.0000 6.3967" Properties=species:S:1:pos:R:3 comment="SrCr2Pt PBE-GGA optimized geometry" spacegroup="Pmmm (47)" formation_energy_ev_per_atom=0.435 dft_energy_ev_per_atom=-6.31 pbc="T T T"
Sr 1.4479 2.1357 4.7975
Cr 0.0000 0.0000 0.6803
Pt 1.4479 2.1357 1.5992
Cr 0.0000 0.0000 2.5180